Entry 1:
A geometry-optimized Ta2Si2S structure. Source: the Alexandria database, functional PBE.

The structure belongs to space group P4/mbm (No. 127); the cell edges are 6.807, 6.807 and 3.507 Å and the angles 90.00°, 90.00° and 90.00°. The asymmetric unit holds Ta at (0.166, 0.334, 0.000), Si at (0.127, 0.627, 0.500) and S at (0.000, 0.000, 0.000).

The energy relative to the elements, uncorrected comes out at -0.30 eV/atom.

=====

Entry 2:
A geometry-optimized Rb3AsF structure. Source: the Alexandria database, functional PBE.

The structure belongs to space group C2/m (No. 12); the cell edges are 14.761, 4.533 and 11.349 Å and the angles 90.00°, 101.12° and 90.00°. The asymmetric unit holds Rb at (0.118, 0.000, 0.225), Rb at (0.151, 0.500, 0.903), Rb at (0.152, 0.000, 0.606), As at (0.029, 0.500, 0.406) and F at (0.243, 0.500, 0.147).

The energy relative to the elements, uncorrected comes out at -1.18 eV/atom. As for the energy above the most stable polymorph in this dataset: 0.00 eV/f.u.

=====

Entry 3:
A geometry-optimized Pr3Er2Tm4 structure. Source: the Alexandria database, functional PBE.

The structure belongs to space group C2/c (No. 15); the cell edges are 16.613, 11.676 and 6.015 Å and the angles 90.00°, 98.01° and 90.00°. The asymmetric unit holds Pr at (0.000, 0.109, 0.250), Pr at (0.166, 0.391, 0.085), Er at (0.117, 0.130, 0.810), Tm at (0.050, 0.370, 0.523) and Tm at (0.218, 0.131, 0.355).

For the formation enthalpy at 0 K, the calculation gives 106 meV/atom. As for the energy above the most stable polymorph in this dataset: 0.72 eV/f.u.

=====

Entry 4:
A geometry-optimized ZrSnPd2 structure. Source: the Alexandria database, functional PBE.

The structure belongs to space group I-42d (No. 122); the cell edges are 4.162, 4.162 and 18.668 Å and the angles 90.00°, 90.00° and 90.00°. The asymmetric unit holds Zr at (0.000, 0.000, 0.000), Sn at (0.000, 0.000, 0.500) and Pd at (0.246, 0.250, 0.625).

For the formation enthalpy at 0 K, the calculation gives -320 meV/atom.

=====

Entry 5:
A geometry-optimized SrHf2InTe structure. Source: the Alexandria database, functional PBE.

The structure belongs to space group P4/mmm (No. 123); the cell edges are 5.450, 5.450 and 5.768 Å and the angles 90.00°, 90.00° and 90.00°. The asymmetric unit holds Sr at (0.000, 0.000, 0.000), Hf at (0.000, 0.500, 0.000), In at (0.500, 0.500, 0.500) and Te at (0.000, 0.000, 0.500).

The energy relative to the elements, uncorrected comes out at 1.54 eV/atom.

=====

Entry 6:
A geometry-optimized Na2Sn2Te structure. Source: the Alexandria database, functional PBE.

The structure belongs to space group I4/mmm (No. 139); the cell edges are 4.152, 4.152 and 18.793 Å and the angles 90.00°, 90.00° and 90.00°. The asymmetric unit holds Na at (0.000, 0.000, 0.085), Sn at (0.000, 0.500, 0.250) and Te at (0.000, 0.000, 0.500).

The energy relative to the elements, uncorrected comes out at -0.25 eV/atom. As for the energy above the most stable polymorph in this dataset: 0.00 eV/f.u.

=====

Entry 7:
A geometry-optimized SmPd12Pb6 structure. Source: the Alexandria database, functional PBE.

The structure belongs to space group R-3m (No. 166, hexagonal axes); the cell edges are 12.2035, 12.2035 and 9.2798 Å and the angles 90.00°, 90.00° and 120.00°. The asymmetric unit holds Sm at (0.0000, 0.0000, 0.0000), Pd at (0.0000, 0.3861, 0.5000), Pd at (0.0793, 0.1586, 0.2653) and Pb at (0.0578, 0.5289, 0.2502).

For the formation enthalpy at 0 K, the calculation gives -199 meV/atom.

=====

Entry 8:
A geometry-optimized Y2BiSe structure. Source: the Alexandria database, functional PBE.

The structure belongs to space group R3m (No. 160, hexagonal axes); the cell edges are 4.1808, 4.1808 and 22.6183 Å and the angles 90.00°, 90.00° and 120.00°. The asymmetric unit holds Y at (0.0000, 0.0000, 0.0000), Y at (0.0000, 0.0000, 0.1630), Bi at (0.0000, 0.0000, 0.5827) and Se at (0.0000, 0.0000, 0.4131).

The energy relative to the elements, uncorrected comes out at -1.20 eV/atom. As for the energy above the most stable polymorph in this dataset: 0.45 eV/f.u.

=====

Entry 9:
A geometry-optimized CaSmAgSb structure. Source: the Alexandria database, functional PBE.

The structure belongs to space group F-43m (No. 216); the cell edges are 7.540, 7.540 and 7.540 Å and the angles 90.00°, 90.00° and 90.00°. The asymmetric unit holds Ca at (0.000, 0.000, 0.000), Sm at (0.000, 0.000, 0.500), Ag at (0.250, 0.250, 0.750) and Sb at (0.250, 0.250, 0.250).

The energy relative to the elements, uncorrected comes out at -0.59 eV/atom.

=====

Entry 10:
A geometry-optimized La6NiOs2Cl3 structure. Source: the Alexandria database, functional PBE.

The structure belongs to space group C2/m (No. 12); the cell edges are 7.164, 12.410 and 8.032 Å and the angles 90.00°, 107.29° and 90.00°. The asymmetric unit holds La at (0.229, 0.000, 0.204), La at (0.237, 0.331, 0.204), Ni at (0.000, 0.500, 0.000), Os at (0.000, 0.167, 0.000), Cl at (0.000, 0.000, 0.500) and Cl at (0.000, 0.331, 0.500).

The energy relative to the elements, uncorrected comes out at -0.99 eV/atom.

=====

Entry 11:
A geometry-optimized SiPRu structure. Source: the Alexandria database, functional PBE.

The structure belongs to space group I4mm (No. 107); the cell edges are 2.841, 2.841 and 10.926 Å and the angles 90.00°, 90.00° and 90.00°. The asymmetric unit holds Si at (0.000, 0.000, 0.000), P at (0.000, 0.000, 0.718) and Ru at (0.000, 0.000, 0.348).

The energy relative to the elements, uncorrected comes out at -0.03 eV/atom.

=====

Entry 12:
A geometry-optimized RbCaVAg2 structure. Source: the Alexandria database, functional PBE.

The structure belongs to space group P4/mmm (No. 123); the cell edges are 5.738, 5.738 and 5.335 Å and the angles 90.00°, 90.00° and 90.00°. The asymmetric unit holds Rb at (0.000, 0.000, 0.000), Ca at (0.500, 0.500, 0.500), V at (0.000, 0.000, 0.500) and Ag at (0.000, 0.500, 0.000).

For the formation enthalpy at 0 K, the calculation gives 1326 meV/atom.